# 1
The following is a GGA-PBE calculation of crystalline LaLu2Sn at its relaxed geometry, from Alexandria.

```
4
Lattice="-0.179 0.502 4.740 -3.302 -3.582 0.255 3.587 -3.272 0.482" Properties=species:S:1:pos:R:3 pbc="T T T"
Lu 1.793 -1.636 0.241
Lu -1.651 -1.791 0.128
Sn -0.089 0.251 2.370
La 0.053 -3.176 2.739
```

Values from the calculation:
Relative energy among the computed polymorphs   0.0 kJ/mol of atoms
Final energy   -19.51 eV/cell
Space group   P4/mmm, No. 123
ΔH_f (0 K)   -384.2 meV/atom


# 2
The following is a GGA-PBE calculation of crystalline K2ScPtO6 at its relaxed geometry, from Alexandria.

```
10
Lattice="5.738 0.000 0.000 2.869 4.969 0.000 2.869 1.656 4.685" Properties=species:S:1:pos:R:3 pbc="T T T"
K 8.607 4.969 3.514
K 2.869 1.656 1.171
Sc 5.738 3.313 2.343
Pt 0.000 0.000 0.000
O 5.738 5.027 3.555
O 4.254 4.170 1.131
O 4.254 2.456 3.555
O 7.223 4.170 1.131
O 5.738 1.599 1.131
O 7.223 2.456 3.555
```

Values from the calculation:
Final energy   -58.78 eV/cell
Space group   Fm-3m, No. 225
Uncorrected formation energy   -1446 meV per atom


# 3
The following is a GGA-PBE calculation of crystalline LiPu2BeAu6 at its relaxed geometry, from Alexandria.

```
10
Lattice="-1.314 2.783 5.422 2.631 -5.561 3.492 4.551 1.236 4.052" Properties=species:S:1:pos:R:3 pbc="T T T"
Li 0.658 -1.389 4.457
Pu 1.843 0.674 7.270
Pu 4.025 -2.215 5.696
Be 0.000 0.000 0.000
Au 2.523 0.231 4.079
Au 5.460 -1.197 10.764
Au 6.069 -2.483 8.252
Au -0.201 0.941 4.714
Au 0.408 -0.344 2.202
Au 3.345 -1.773 8.887
```

Values from the calculation:
Final energy   -56.73 eV/cell
Space group   C2/m, No. 12
ΔH_f (0 K)   -276.0 meV/atom


# 4
The following is a GGA-PBE calculation of crystalline Tl2OsPd2O6 at its relaxed geometry, from Alexandria.

```
11
Lattice="5.519 0.396 -0.064 -2.384 4.993 -0.064 -1.252 -2.151 6.378" Properties=species:S:1:pos:R:3 pbc="T T T"
Tl 4.054 1.248 -0.064
Tl -0.918 4.141 -0.064
Os -0.626 -1.076 3.189
Pd -0.358 2.375 3.125
Pd 2.242 0.863 3.125
O 1.582 2.719 3.947
O -1.565 0.213 4.301
O 0.302 0.518 2.303
O 0.959 -1.255 4.301
O 3.448 3.025 1.949
O 0.925 4.492 1.949
```

Values from the calculation:
Final energy   -61.81 eV/cell
Space group   C2/m, No. 12
Uncorrected formation energy   -519 meV per atom